First-principles (GGA-PBE) data for a relaxed ScCrGe2 crystal, as listed in the Alexandria database.

a = 5.2448 Å, b = 5.2448 Å, c = 5.2448 Å
α = 46.32°, β = 46.32°, γ = 46.32°
Closest atoms and distances in Å follow each position.
Sites, in units of the cell vectors:
Sc  0.0000  0.0000  0.0000  6 Ge 2.77
Cr  0.5000  0.5000  0.5000  6 Ge 2.55
Ge  0.2325  0.2325  0.2325  3 Cr 2.55, 3 Sc 2.77
Ge  0.7675  0.7675  0.7675  3 Cr 2.55, 3 Sc 2.77

The distance to the lowest polymorph of the same formula comes out at 179 meV per atom. The symmetry is R-3m. Its density of states at the Fermi level is 2.3 states/eV per cell. The calculated total energy comes out at -6.6059 eV/atom.

First-principles (GGA-PBE) data for a relaxed ScCrGe2 crystal, as listed in the Alexandria database.

a = 4.6022 Å, b = 4.6022 Å, c = 4.6022 Å
α = 60.00°, β = 60.00°, γ = 60.00°
Closest atoms and distances in Å follow each position.
Sites, in units of the cell vectors:
Sc  0.0000  0.0000  0.0000  8 Ge 2.82
Cr  0.5000  0.5000  0.5000  8 Ge 2.82
Ge  0.2500  0.2500  0.2500  4 Cr 2.82, 4 Sc 2.82
Ge  0.7500  0.7500  0.7500  4 Sc 2.82, 4 Cr 2.82

The distance to the lowest polymorph of the same formula comes out at 345 meV per atom. The symmetry is Fm-3m. Its density of states at the Fermi level is 2.8 states/eV per cell. The calculated total energy comes out at -6.4405 eV/atom.

First-principles (GGA-PBE) data for a relaxed ScCrGe crystal, as listed in the Alexandria database.

a = 4.9024 Å, b = 4.9024 Å, c = 5.6316 Å
α = 101.17°, β = 101.17°, γ = 50.23°
Closest atoms and distances in Å follow each position.
Sites, in units of the cell vectors:
Sc  0.0000  0.0000  0.0000  5 Ge 2.70-2.98, 5 Cr 2.82-2.96
Sc  0.7200  0.7200  0.3394  4 Cr 2.77-2.90, 5 Ge 2.84-3.07
Cr  0.4017  0.4017  0.6261  1 Cr 2.46, 3 Ge 2.66-2.69
Cr  0.6790  0.6790  0.8140  1 Cr 2.46, 4 Ge 2.64
Ge  0.0697  0.0697  0.5423  5 Cr 2.64-2.88, 3 Sc 2.78-2.84
Ge  0.3165  0.3165  0.0575  3 Cr 2.64-2.69, 5 Sc 2.70-2.86

The symmetry is Cm. Its density of states at the Fermi level is 3.4 states/eV per cell. The calculated total energy comes out at -7.1534 eV/atom.

First-principles (GGA-PBE) data for a relaxed ScCrGe crystal, as listed in the Alexandria database.

a = 7.5394 Å, b = 7.5394 Å, c = 7.5394 Å
α = 32.29°, β = 32.29°, γ = 32.29°
Closest atoms and distances in Å follow each position.
Sites, in units of the cell vectors:
Sc  0.0000  0.0000  0.0000  4 Ge 2.73-2.82, 3 Cr 2.91
Sc  0.4560  0.4560  0.4560  6 Ge 2.78-2.96, 1 Cr 2.89
Cr  0.2354  0.2354  0.2354  3 Cr 2.47, 3 Ge 2.53
Cr  0.5908  0.5908  0.5908  3 Cr 2.47, 3 Ge 2.70
Ge  0.7253  0.7253  0.7253  6 Sc 2.73-2.78, 1 Cr 2.88
Ge  0.8685  0.8685  0.8685  6 Cr 2.53-2.70, 1 Sc 2.82

The symmetry is R3m. Its density of states at the Fermi level is 2.4 states/eV per cell. The calculated total energy comes out at -7.2011 eV/atom.

> Among the records above, which one has the lowest density of states at the Fermi level?

number 1